# Cs3KAu4, optimized geometry, DFT PBE
# energy above the most stable polymorph in this dataset = 16 meV per atom
# DOS at the Fermi energy = 0.0 states/eV/f.u.
# total energy = -19.1 eV for the cell shown
data_Cs3KAu4
_space_group_name_H-M_alt 'P m -3 m'
_space_group_IT_number 221
_space_group_name_Hall '-P 4 2 3'
_cell_length_a 7.2522
_cell_length_b 7.2522
_cell_length_c 7.2522
_cell_angle_alpha 90.00
_cell_angle_beta 90.00
_cell_angle_gamma 90.00
loop_
_atom_site_label
_atom_site_type_symbol
_atom_site_fract_x
_atom_site_fract_y
_atom_site_fract_z
Cs1 Cs 0.0000 0.0000 0.5000
K1 K 0.5000 0.5000 0.5000
Au1 Au 0.0000 0.0000 0.0000
Au2 Au 0.0000 0.5000 0.5000